# PBE Sc6GaS3, optimized geometry
# uncorrected energy: -6.566 eV per atom
# calculated volume: 394.0 Å³ per cell
# formation energy from raw total energies: -12.3 eV per formula unit
# theoretical density: 3.67 Mg/m³
data_Sc6GaS3
_cell_length_a 10.695
_cell_length_b 3.596
_cell_length_c 10.808
_cell_angle_alpha 90.00
_cell_angle_beta 108.57
_cell_angle_gamma 90.00
_space_group_name_H-M_alt 'P 1'
_space_group_IT_number 1
_space_group_name_Hall 'P 1'
loop_
_atom_site_label
_atom_site_type_symbol
_atom_site_fract_x
_atom_site_fract_y
_atom_site_fract_z
Sc1 Sc 0.008 0.250 0.368
Sc2 Sc 0.117 0.250 0.937
Sc3 Sc 0.225 0.750 0.260
Sc4 Sc 0.297 0.750 0.749
Sc5 Sc 0.374 0.250 0.529
Sc6 Sc 0.424 0.750 0.092
Sc7 Sc 0.576 0.250 0.908
Sc8 Sc 0.626 0.750 0.471
Sc9 Sc 0.703 0.250 0.251
Sc10 Sc 0.775 0.250 0.740
Sc11 Sc 0.883 0.750 0.063
Sc12 Sc 0.992 0.750 0.632
Ga1 Ga 0.448 0.250 0.301
Ga2 Ga 0.552 0.750 0.699
S1 S 0.058 0.250 0.153
S2 S 0.175 0.750 0.491
S3 S 0.347 0.250 0.921
S4 S 0.653 0.750 0.079
S5 S 0.825 0.250 0.509
S6 S 0.942 0.750 0.847

=====

# PBE ScGaS3, optimized geometry
# uncorrected energy: -4.723 eV per atom
# energy above the lowest structure with this stoichiometry: 18.76 kcal/mol of atoms
# calculated volume: 100.6 Å³ per cell
# formation energy from raw total energies: -1.9 eV per formula unit
# theoretical density: 3.48 Mg/m³
data_ScGaS3
_cell_length_a 4.650
_cell_length_b 4.650
_cell_length_c 4.650
_cell_angle_alpha 90.00
_cell_angle_beta 90.00
_cell_angle_gamma 90.00
_space_group_name_H-M_alt 'P 1'
_space_group_IT_number 1
_space_group_name_Hall 'P 1'
loop_
_atom_site_label
_atom_site_type_symbol
_atom_site_fract_x
_atom_site_fract_y
_atom_site_fract_z
Sc1 Sc 0.000 0.000 0.000
Ga1 Ga 0.500 0.500 0.500
S1 S 0.000 0.500 0.500
S2 S 0.500 0.000 0.500
S3 S 0.500 0.500 0.000

=====

# PBE Sc4GaS3, optimized geometry
# uncorrected energy: -6.635 eV per atom
# calculated volume: 148.9 Å³ per cell
# formation energy from raw total energies: -12.3 eV per formula unit
# theoretical density: 3.85 Mg/m³
data_Sc4GaS3
_cell_length_a 6.484
_cell_length_b 6.484
_cell_length_c 6.484
_cell_angle_alpha 131.68
_cell_angle_beta 131.68
_cell_angle_gamma 70.73
_space_group_name_H-M_alt 'P 1'
_space_group_IT_number 1
_space_group_name_Hall 'P 1'
loop_
_atom_site_label
_atom_site_type_symbol
_atom_site_fract_x
_atom_site_fract_y
_atom_site_fract_z
Sc1 Sc 0.000 0.500 0.500
Sc2 Sc 0.247 0.247 0.000
Sc3 Sc 0.500 0.000 0.500
Sc4 Sc 0.753 0.753 0.000
Ga1 Ga 0.500 0.500 0.000
S1 S 0.000 0.000 0.000
S2 S 0.250 0.750 0.500
S3 S 0.750 0.250 0.500

=====

# PBE Sc2GaS, optimized geometry
# uncorrected energy: -6.101 eV per atom
# energy above the lowest structure with this stoichiometry: 2.71 kcal/mol of atoms
# calculated volume: 78.3 Å³ per cell
# formation energy from raw total energies: -4.6 eV per formula unit
# theoretical density: 4.07 Mg/m³
data_Sc2GaS
_cell_length_a 7.616
_cell_length_b 7.616
_cell_length_c 7.616
_cell_angle_alpha 26.64
_cell_angle_beta 26.64
_cell_angle_gamma 26.64
_space_group_name_H-M_alt 'P 1'
_space_group_IT_number 1
_space_group_name_Hall 'P 1'
loop_
_atom_site_label
_atom_site_type_symbol
_atom_site_fract_x
_atom_site_fract_y
_atom_site_fract_z
Sc1 Sc 0.000 0.000 0.000
Sc2 Sc 0.192 0.192 0.192
Ga1 Ga 0.763 0.763 0.763
S1 S 0.595 0.595 0.595

=====

# PBE Sc2GaS, optimized geometry
# uncorrected energy: -5.773 eV per atom
# energy above the lowest structure with this stoichiometry: 10.27 kcal/mol of atoms
# calculated volume: 162.8 Å³ per cell
# formation energy from raw total energies: -3.3 eV per formula unit
# theoretical density: 3.91 Mg/m³
data_Sc2GaS
_cell_length_a 5.968
_cell_length_b 5.968
_cell_length_c 5.968
_cell_angle_alpha 107.23
_cell_angle_beta 107.23
_cell_angle_gamma 114.06
_space_group_name_H-M_alt 'P 1'
_space_group_IT_number 1
_space_group_name_Hall 'P 1'
loop_
_atom_site_label
_atom_site_type_symbol
_atom_site_fract_x
_atom_site_fract_y
_atom_site_fract_z
Sc1 Sc 0.097 0.625 0.972
Sc2 Sc 0.375 0.347 0.472
Sc3 Sc 0.653 0.125 0.028
Sc4 Sc 0.875 0.903 0.528
Ga1 Ga 0.250 0.750 0.500
Ga2 Ga 0.500 0.500 0.000
S1 S 0.000 0.000 0.000
S2 S 0.750 0.250 0.500

=====

# PBE ScGaS3, optimized geometry
# uncorrected energy: -4.848 eV per atom
# energy above the lowest structure with this stoichiometry: 15.87 kcal/mol of atoms
# calculated volume: 122.7 Å³ per cell
# formation energy from raw total energies: -2.5 eV per formula unit
# theoretical density: 2.85 Mg/m³
data_ScGaS3
_cell_length_a 4.969
_cell_length_b 4.969
_cell_length_c 4.969
_cell_angle_alpha 90.00
_cell_angle_beta 90.00
_cell_angle_gamma 90.00
_space_group_name_H-M_alt 'P 1'
_space_group_IT_number 1
_space_group_name_Hall 'P 1'
loop_
_atom_site_label
_atom_site_type_symbol
_atom_site_fract_x
_atom_site_fract_y
_atom_site_fract_z
Sc1 Sc 0.000 0.000 0.000
Ga1 Ga 0.500 0.500 0.500
S1 S 0.000 0.000 0.500
S2 S 0.000 0.500 0.000
S3 S 0.500 0.000 0.000